Compound: RbPu2MnSe4
Source: the Alexandria database
Functional: PBE-GGA
Structure: optimized geometry

a = 4.2090 Å, b = 14.6055 Å, c = 14.5849 Å
α = 90.00°, β = 90.00°, γ = 90.00°
Space group Cmcm (No. 63)
Symmetry-distinct sites (fractional):
Rb: 0.0000 0.1083 0.2500 [4 per cell]
Pu: 0.0000 0.3681 0.0577 [8 per cell]
Mn: 0.0000 0.1658 0.7500 [4 per cell]
Se: 0.0000 0.0000 0.0000 [4 per cell]
Se: 0.0000 0.2608 0.6090 [8 per cell]
Se: 0.0000 0.4286 0.2500 [4 per cell]

Calculated values
The crystal system is orthorhombic. Its raw formation energy is -10.03 eV/f.u. The density of states at the Fermi level is 86.745 states/eV per cell. The total energy is -7.85 eV/atom. The mass density is 7.00 g cm⁻³.